No. 1
This record from Alexandria via LeMat-Bulk describes Ce4Nd3TmS8 after structural relaxation. The functional is PBE.

a = 8.042 Å, b = 8.045 Å, c = 8.042 Å
α = 119.99°, β = 120.00°, γ = 90.00°
Sites, in units of the cell vectors:
S 0.757 0.254 0.998
S 0.759 0.746 0.002
S 0.751 0.753 0.502
S 0.243 0.746 0.002
S 0.241 0.254 0.998
S 0.757 0.254 0.513
S 0.243 0.746 0.487
S 0.249 0.247 0.498
Nd 0.500 0.500 0.000
Nd 0.500 0.500 0.500
Nd 0.000 0.500 0.500
Ce 0.000 0.000 0.500
Ce 0.500 0.000 0.500
Ce 0.000 0.000 0.000
Ce 0.500 0.000 0.000
Tm 0.000 0.500 0.000

Results
Electronic total energy   -6.74 eV per atom
Total magnetization   0.187 μB per atom
DOS(E_F)   1.3921 states/eV per atom
Uncorrected formation energy   -195.2 kJ/mol of atoms



No. 2
This record from Alexandria via LeMat-Bulk describes Tb3NpFe8 after structural relaxation. The functional is PBE.

a = 5.048 Å, b = 5.048 Å, c = 8.974 Å
α = 73.66°, β = 73.66°, γ = 60.00°
Sites, in units of the cell vectors:
Tb 0.999 0.999 0.002
Tb 0.377 0.377 0.870
Tb 0.501 0.501 0.498
Fe 0.935 0.441 0.688
Fe 0.189 0.189 0.434
Fe 0.685 0.685 0.946
Fe 0.437 0.437 0.189
Fe 0.437 0.936 0.189
Fe 0.936 0.437 0.189
Fe 0.441 0.935 0.688
Fe 0.935 0.935 0.688
Np 0.877 0.877 0.370

Results
Electronic total energy   -7.86 eV per atom
Total magnetization   0.073 μB per atom
Formation energy   23.1 kJ/mol of formula units
DOS(E_F)   1.5830 states/eV per atom